VASP calculation (PBE-GGA) on an optimized crystal structure of Cs2LaMoCl6.

The structure in extended XYZ format:
```
10
Lattice="0.000 5.310 5.310 5.310 0.000 5.310 5.310 5.310 0.000" Properties=species:S:1:pos:R:3 pbc="T T T"
Cs 2.655 2.655 2.655
Cs 7.965 7.965 7.965
La 0.000 0.000 0.000
Mo 5.310 5.310 5.310
Cl 5.310 5.310 2.801
Cl 5.310 2.801 5.310
Cl 7.819 5.310 5.310
Cl 2.801 5.310 5.310
Cl 5.310 7.819 5.310
Cl 5.310 5.310 7.819
```

As for the electronic total energy: -4.38 eV per atom. The total magnetization is 1.000 μB/f.u. The calculated volume comes out at 29.9 Å³ per atom. The calculation puts the mass density at 4.0 g cm⁻³.